(1)
DFT (PBE-GGA) results for an optimized crystal structure of DyIn6Hg12.

The structure in extended XYZ format:
```
19
Lattice="5.758 3.324 4.423 -5.758 3.324 4.423 0.000 -6.648 4.423" Properties=species:S:1:pos:R:3 pbc="T T T"
Dy 0.000 0.000 0.000
In -3.303 1.146 4.940
In 0.660 -3.433 4.940
In -2.644 -2.288 8.328
In 2.644 2.288 4.940
In -0.660 3.433 8.328
In 3.303 -1.146 8.328
Hg -0.596 -1.818 2.537
Hg -1.276 1.425 2.537
Hg -1.687 -1.435 5.434
Hg 1.872 0.392 2.537
Hg -2.087 0.744 7.834
Hg -0.399 2.179 5.434
Hg 0.399 -2.179 7.834
Hg 2.087 -0.744 5.434
Hg -1.872 -0.392 10.731
Hg 1.687 1.435 7.834
Hg 1.276 -1.425 10.731
Hg 0.596 1.818 10.731
```

## Properties
space-group type	R-3 (148)

(2)
DFT (PBE-GGA) results for an optimized crystal structure of DyIn6Hg12.

The structure in extended XYZ format:
```
19
Lattice="7.124 4.113 2.801 -7.124 4.113 2.801 0.000 -8.226 2.801" Properties=species:S:1:pos:R:3 pbc="T T T"
Dy 0.000 0.000 0.000
In -3.661 -0.370 3.070
In -1.510 -3.355 5.333
In 2.151 -2.986 3.070
In -2.151 2.986 5.333
In 1.510 3.355 3.070
In 3.661 0.370 5.333
Hg -0.444 -4.998 2.743
Hg -4.107 2.884 2.743
Hg -0.784 -1.707 2.683
Hg -4.551 -2.114 5.660
Hg -1.086 1.533 2.683
Hg 1.871 0.174 2.683
Hg -1.871 -0.174 5.721
Hg 1.086 -1.533 5.721
Hg 4.551 2.114 2.743
Hg 0.784 1.707 5.721
Hg 4.107 -2.884 5.660
Hg 0.444 4.998 5.660
```

## Properties
space-group type	R-3 (148)

The computed energies, referenced to the most stable structure and given in meV per atom, are (1) 20; (2) 0.

(1)
DFT (PBE-GGA) results for an optimized crystal structure of Dy3In2Hg3.

The structure in extended XYZ format:
```
16
Lattice="8.973 0.000 0.000 -4.487 7.771 0.000 0.000 0.000 6.241" Properties=species:S:1:pos:R:3 pbc="T T T"
Dy -1.401 2.426 1.560
Dy -3.086 5.345 4.681
Dy 2.801 0.000 1.560
Dy 1.401 2.426 4.681
Dy 6.172 0.000 4.681
Dy 3.086 5.345 1.560
In 0.000 5.181 0.000
In 0.000 5.181 3.120
In 4.487 2.590 0.000
In 4.487 2.590 3.120
Hg -1.537 2.663 4.681
Hg -2.949 5.108 1.560
Hg 3.075 0.000 4.681
Hg 1.537 2.663 1.560
Hg 5.898 0.000 1.560
Hg 2.949 5.108 4.681
```

## Properties
space-group type	P6_3/mcm (193)

(2)
DFT (PBE-GGA) results for an optimized crystal structure of Dy3In2Hg3.

The structure in extended XYZ format:
```
16
Lattice="3.735 0.000 0.000 0.000 5.261 0.000 0.000 0.000 20.878" Properties=species:S:1:pos:R:3 pbc="T T T"
Dy 0.000 0.000 0.000
Dy 0.000 2.631 2.695
Dy 0.000 2.631 18.183
Dy 1.867 0.000 7.744
Dy 1.867 0.000 13.134
Dy 1.867 2.631 10.439
In 0.000 0.000 5.004
In 0.000 0.000 15.874
In 1.867 2.631 5.435
In 1.867 2.631 15.443
Hg 0.000 0.000 10.439
Hg 0.000 2.631 7.987
Hg 0.000 2.631 12.891
Hg 1.867 0.000 2.452
Hg 1.867 0.000 18.426
Hg 1.867 2.631 0.000
```

## Properties
space-group type	Immm (71)

The computed energies, referenced to the most stable structure and given in meV per atom, are (1) 28; (2) 0.

(1)
DFT (PBE-GGA) results for an optimized crystal structure of Dy3InHg4.

The structure in extended XYZ format:
```
8
Lattice="2.575 1.487 8.739 -2.575 1.487 8.739 0.000 -2.973 8.739" Properties=species:S:1:pos:R:3 pbc="T T T"
Dy 0.000 0.000 0.000
Dy 0.000 0.000 6.364
Dy 0.000 0.000 19.852
In 0.000 0.000 13.108
Hg 0.000 0.000 3.163
Hg 0.000 0.000 9.655
Hg 0.000 0.000 16.561
Hg 0.000 0.000 23.053
```

## Properties
space-group type	R-3m (166)

(2)
DFT (PBE-GGA) results for an optimized crystal structure of Dy3InHg4.

The structure in extended XYZ format:
```
16
Lattice="3.621 0.000 0.000 0.000 6.989 0.000 0.000 0.000 17.129" Properties=species:S:1:pos:R:3 pbc="T T T"
Dy 0.000 0.000 0.000
Dy 0.000 3.495 3.750
Dy 0.000 3.495 13.379
Dy 1.811 0.000 4.815
Dy 1.811 0.000 12.315
Dy 1.811 3.495 8.565
In 0.000 0.000 8.565
In 1.811 3.495 0.000
Hg 0.000 1.969 6.390
Hg 0.000 1.969 10.740
Hg 0.000 5.020 6.390
Hg 0.000 5.020 10.740
Hg 1.811 1.526 2.175
Hg 1.811 1.526 14.954
Hg 1.811 5.463 2.175
Hg 1.811 5.463 14.954
```

## Properties
space-group type	Immm (71)

The computed energies, referenced to the most stable structure and given in meV per atom, are (1) 0; (2) 125.

(1)
DFT (PBE-GGA) results for an optimized crystal structure of Dy4InHg2.

The structure in extended XYZ format:
```
7
Lattice="2.521 1.456 9.644 -2.521 1.456 9.644 0.000 -2.911 9.644" Properties=species:S:1:pos:R:3 pbc="T T T"
Dy 0.000 0.000 3.503
Dy 0.000 0.000 8.570
Dy 0.000 0.000 20.363
Dy 0.000 0.000 25.430
In 0.000 0.000 14.467
Hg 0.000 0.000 11.557
Hg 0.000 0.000 17.376
```

## Properties
space-group type	R-3m (166)

(2)
DFT (PBE-GGA) results for an optimized crystal structure of Dy4InHg2.

The structure in extended XYZ format:
```
7
Lattice="2.604 1.504 8.377 -2.604 1.504 8.377 0.000 -3.007 8.377" Properties=species:S:1:pos:R:3 pbc="T T T"
Dy 0.000 0.000 2.931
Dy 0.000 0.000 9.300
Dy 0.000 0.000 15.829
Dy 0.000 0.000 22.198
In 0.000 0.000 12.565
Hg 0.000 0.000 6.219
Hg 0.000 0.000 18.911
```

## Properties
space-group type	R-3m (166)

The computed energies, referenced to the most stable structure and given in meV per atom, are (1) 127; (2) 0.

(1)
DFT (PBE-GGA) results for an optimized crystal structure of DyInSnHg.

The structure in extended XYZ format:
```
16
Lattice="7.498 0.000 0.000 0.000 7.498 0.000 0.000 0.000 7.498" Properties=species:S:1:pos:R:3 pbc="T T T"
Dy 0.000 0.000 0.000
Dy 0.000 3.749 3.749
Dy 3.749 0.000 3.749
Dy 3.749 3.749 0.000
In 0.000 0.000 3.749
In 0.000 3.749 0.000
In 3.749 0.000 0.000
In 3.749 3.749 3.749
Sn 1.875 1.875 5.624
Sn 1.875 5.624 1.875
Sn 5.624 1.875 1.875
Sn 5.624 5.624 5.624
Hg 1.875 1.875 1.875
Hg 1.875 5.624 5.624
Hg 5.624 1.875 5.624
Hg 5.624 5.624 1.875
```

## Properties
space-group type	F-43m (216)

(2)
DFT (PBE-GGA) results for an optimized crystal structure of DyInSnHg.

The structure in extended XYZ format:
```
4
Lattice="4.544 0.000 0.000 0.000 4.569 0.000 0.000 0.000 4.780" Properties=species:S:1:pos:R:3 pbc="T T T"
Dy 0.000 0.000 0.000
In 0.000 2.284 2.390
Sn 2.272 2.284 0.000
Hg 2.272 0.000 2.390
```

## Properties
space-group type	Pmmm (47)

The computed energies, referenced to the most stable structure and given in meV per atom, are (1) 196; (2) 0.

(1)
DFT (PBE-GGA) results for an optimized crystal structure of DyTlInHg.

The structure in extended XYZ format:
```
16
Lattice="7.465 0.000 0.000 0.000 7.465 0.000 0.000 0.000 7.465" Properties=species:S:1:pos:R:3 pbc="T T T"
Dy 0.000 0.000 0.000
Dy 0.000 3.733 3.733
Dy 3.733 0.000 3.733
Dy 3.733 3.733 0.000
Tl 1.866 1.866 5.599
Tl 1.866 5.599 1.866
Tl 5.599 1.866 1.866
Tl 5.599 5.599 5.599
In 0.000 0.000 3.733
In 0.000 3.733 0.000
In 3.733 0.000 0.000
In 3.733 3.733 3.733
Hg 1.866 1.866 1.866
Hg 1.866 5.599 5.599
Hg 5.599 1.866 5.599
Hg 5.599 5.599 1.866
```

## Properties
space-group type	F-43m (216)

(2)
DFT (PBE-GGA) results for an optimized crystal structure of DyTlInHg.

The structure in extended XYZ format:
```
4
Lattice="4.624 0.000 0.000 0.000 4.628 0.000 0.000 0.000 4.703" Properties=species:S:1:pos:R:3 pbc="T T T"
Dy 0.000 0.000 0.000
Tl 2.312 2.314 0.000
In 2.312 0.000 2.352
Hg 0.000 2.314 2.352
```

## Properties
space-group type	Pmmm (47)

The computed energies, referenced to the most stable structure and given in meV per atom, are (1) 122; (2) 0.

(1)
DFT (PBE-GGA) results for an optimized crystal structure of Dy8Hg2Ir.

The structure in extended XYZ format:
```
11
Lattice="8.896 -2.598 0.000 8.896 2.598 0.000 -1.945 0.000 6.555" Properties=species:S:1:pos:R:3 pbc="T T T"
Dy -0.142 0.000 1.871
Dy 2.003 0.000 5.314
Dy 5.113 0.000 3.523
Dy 7.194 0.000 0.458
Dy 8.652 0.000 6.096
Dy 10.733 0.000 3.032
Dy 13.843 0.000 1.241
Dy 15.988 0.000 4.684
Hg 2.861 0.000 1.492
Hg 12.985 0.000 5.063
Ir 7.923 0.000 3.277
```

## Properties
space-group type	C2/m (12)

(2)
DFT (PBE-GGA) results for an optimized crystal structure of Dy8Hg2Ir.

The structure in extended XYZ format:
```
11
Lattice="-2.526 4.157 7.081 2.526 -4.157 7.081 2.526 4.157 -7.081" Properties=species:S:1:pos:R:3 pbc="T T T"
Dy 2.526 2.233 -2.134
Dy 0.000 0.000 1.722
Dy 0.000 2.699 0.000
Dy 2.526 2.233 2.134
Dy 0.000 1.923 4.947
Dy 0.000 5.615 0.000
Dy 0.000 0.000 12.439
Dy 0.000 1.923 9.214
Hg 2.526 0.000 4.257
Hg 0.000 4.157 2.824
Ir 2.526 0.000 0.000
```

## Properties
space-group type	Immm (71)

The computed energies, referenced to the most stable structure and given in meV per atom, are (1) 0; (2) 132.

(1)
DFT (PBE-GGA) results for an optimized crystal structure of Dy6Hg2Ir.

The structure in extended XYZ format:
```
18
Lattice="6.903 0.000 0.000 0.000 7.417 0.000 -6.890 0.000 10.229" Properties=species:S:1:pos:R:3 pbc="T T T"
Dy -2.243 1.426 4.591
Dy -5.688 2.283 9.705
Dy -1.292 5.098 4.557
Dy -4.737 6.028 9.671
Dy 0.821 0.116 2.514
Dy -2.624 3.592 7.628
Dy 2.637 3.825 2.601
Dy -0.808 7.301 7.715
Dy 4.750 1.389 0.558
Dy 1.305 2.319 5.672
Dy 5.701 5.134 0.524
Dy 2.256 5.991 5.638
Hg -3.740 0.709 7.658
Hg -0.295 3.000 2.543
Hg 0.308 4.417 7.686
Hg 3.753 6.708 2.571
Ir 0.007 0.000 5.115
Ir 3.452 3.708 0.000
```

## Properties
space-group type	P2_1/c (14)

(2)
DFT (PBE-GGA) results for an optimized crystal structure of Dy6Hg2Ir.

The structure in extended XYZ format:
```
18
Lattice="-4.796 4.936 5.095 4.796 -4.936 5.095 4.796 4.936 -5.095" Properties=species:S:1:pos:R:3 pbc="T T T"
Dy 4.796 3.267 -2.572
Dy 2.556 1.805 0.000
Dy 7.035 1.805 0.000
Dy 3.174 0.000 2.714
Dy 6.417 0.000 2.714
Dy 0.000 1.669 2.523
Dy 4.796 3.267 2.572
Dy -1.622 4.936 2.381
Dy 1.622 4.936 2.381
Dy -2.239 3.131 5.095
Dy 2.239 3.131 5.095
Dy 0.000 1.669 7.667
Hg 0.000 3.492 0.000
Hg 3.398 4.936 0.000
Hg 1.397 0.000 5.095
Hg 0.000 6.380 0.000
Ir 0.000 0.000 0.000
Ir 4.796 0.000 0.000
```

## Properties
space-group type	Immm (71)

The computed energies, referenced to the most stable structure and given in meV per atom, are (1) 0; (2) 12.